This record from Alexandria describes a relaxed Y2TlNi crystal. The functional is PBE.

abc: 3.7979 3.7979 25.7006
angles: 90.00 90.00 120.00
Last column: nearest neighbours and their distance in Å.
Atoms (fractional coordinates):
1 Y 0.0000 0.0000 0.0000  3 Ni 2.71
2 Y 0.0000 0.0000 0.2136  3 Tl 3.26
3 Y 0.3333 0.6667 0.6667  3 Ni 2.71
4 Y 0.3333 0.6667 0.8802  3 Tl 3.26
5 Y 0.6667 0.3333 0.3333  3 Ni 2.71
6 Y 0.6667 0.3333 0.5469  3 Tl 3.26
7 Tl 0.0000 0.0000 0.4533  3 Ni 2.65
8 Tl 0.3333 0.6667 0.1199  3 Ni 2.65
9 Tl 0.6667 0.3333 0.7866  3 Ni 2.65
10 Ni 0.0000 0.0000 0.7285  3 Tl 2.65, 3 Y 2.71
11 Ni 0.3333 0.6667 0.3951  3 Tl 2.65, 3 Y 2.71
12 Ni 0.6667 0.3333 0.0618  3 Tl 2.65, 3 Y 2.71

Summary:
SG: R3m, No. 160
Density: 6841 kg/m3
Energy: -5.280 eV per atom
V: 321 Å³/cell

***

This record from Alexandria describes a relaxed LaCd2Ga crystal. The functional is PBE.

abc: 4.5198 4.5198 4.9933
angles: 90.00 90.00 90.00
Last column: nearest neighbours and their distance in Å.
Atoms (fractional coordinates):
1 La 0.0000 0.0000 0.0000  4 Ga 3.20, 8 Cd 3.37
2 Cd 0.0000 0.5000 0.5000  4 Cd 3.20, 4 La 3.37, 4 Ga 3.37
3 Cd 0.5000 0.0000 0.5000  4 Cd 3.20, 4 La 3.37, 4 Ga 3.37
4 Ga 0.5000 0.5000 0.0000  4 La 3.20, 8 Cd 3.37

Summary:
SG: P4/mmm, No. 123
Density: 7056 kg/m3
Energy: -2.770 eV per atom
V: 102 Å³/cell

***

This record from Alexandria describes a relaxed AcPm4Y7 crystal. The functional is PBE.

abc: 6.3462 7.3355 9.0360
angles: 90.03 103.69 90.17
Last column: nearest neighbours and their distance in Å.
Atoms (fractional coordinates):
1 Ac 0.0000 0.0000 0.0000  10 Y 3.63-3.67, 2 Pm 3.65
2 Pm 0.2208 0.4991 0.6659  4 Pm 3.58-3.66, 8 Y 3.59-3.67
3 Pm 0.2798 0.7475 0.3366  8 Y 3.56-3.70, 3 Pm 3.58-3.66, 1 Ac 3.65
4 Pm 0.7202 0.2525 0.6634  8 Y 3.56-3.70, 3 Pm 3.58-3.66, 1 Ac 3.65
5 Pm 0.7792 0.5009 0.3341  4 Pm 3.58-3.66, 8 Y 3.59-3.67
6 Y 0.0000 0.5000 0.0000  4 Pm 3.62, 6 Y 3.62-3.67, 2 Ac 3.67
7 Y 0.2231 0.9991 0.6626  5 Pm 3.57-3.70, 6 Y 3.57-3.69, 1 Ac 3.65
8 Y 0.2803 0.2525 0.3351  6 Pm 3.56-3.70, 5 Y 3.59-3.69, 1 Ac 3.63
9 Y 0.4992 0.7479 0.0000  3 Pm 3.61-3.63, 7 Y 3.62-3.70, 2 Ac 3.67
10 Y 0.5008 0.2521 0.0000  3 Pm 3.61-3.63, 7 Y 3.62-3.70, 2 Ac 3.67
11 Y 0.7197 0.7475 0.6649  6 Pm 3.56-3.70, 5 Y 3.59-3.69, 1 Ac 3.63
12 Y 0.7769 0.0009 0.3374  5 Pm 3.57-3.70, 6 Y 3.57-3.69, 1 Ac 3.65

Summary:
SG: P-1, No. 2
Density: 5807 kg/m3
Relative energy among the computed polymorphs: 0 meV per atom
V: 409 Å³/cell

***

This record from Alexandria describes a relaxed CaCrCo2 crystal. The functional is PBE.

abc: 3.9347 3.9347 15.9583
angles: 90.00 90.00 120.00
Last column: nearest neighbours and their distance in Å.
Atoms (fractional coordinates):
1 Ca 0.0000 0.0000 0.0000  4 Cr 3.01-3.24, 7 Co 3.09-3.22
2 Ca 0.3333 0.6667 0.6667  4 Cr 3.01-3.24, 7 Co 3.09-3.22
3 Ca 0.6667 0.3333 0.3333  4 Cr 3.01-3.24, 7 Co 3.09-3.22
4 Cr 0.0000 0.0000 0.8113  6 Co 2.27-2.40
5 Cr 0.3333 0.6667 0.4780  6 Co 2.27-2.40
6 Cr 0.6667 0.3333 0.1446  6 Co 2.27-2.40
7 Co 0.0000 0.0000 0.1936  3 Cr 2.40, 3 Co 2.41
8 Co 0.0000 0.0000 0.4763  3 Cr 2.27, 3 Co 2.41
9 Co 0.3333 0.6667 0.1429  3 Cr 2.27, 3 Co 2.41
10 Co 0.3333 0.6667 0.8603  3 Cr 2.40, 3 Co 2.41
11 Co 0.6667 0.3333 0.5269  3 Cr 2.40, 3 Co 2.41
12 Co 0.6667 0.3333 0.8096  3 Cr 2.27, 3 Co 2.41

Summary:
SG: R3m, No. 160
Density: 4887 kg/m3
Relative energy among the computed polymorphs: 95 meV per atom
V: 214 Å³/cell

***

This record from Alexandria describes a relaxed Cd2PdRh2O6 crystal. The functional is PBE.

abc: 5.7109 5.7109 5.6147
angles: 97.59 97.59 124.96
Last column: nearest neighbours and their distance in Å.
Atoms (fractional coordinates):
1 Cd 0.1550 0.8450 0.0000  6 O 2.32-2.46
2 Cd 0.8450 0.1550 0.0000  6 O 2.32-2.46
3 Pd 0.0000 0.0000 0.5000  2 O 2.03
4 Rh 0.3390 0.6610 0.5000  6 O 2.04-2.13
5 Rh 0.6610 0.3390 0.5000  6 O 2.04-2.13
6 O 0.0334 0.4252 0.7110  2 Rh 2.04-2.13
7 O 0.2708 0.2708 0.3067  1 Pd 2.03, 2 Rh 2.13
8 O 0.4252 0.0334 0.7110  2 Rh 2.04-2.13
9 O 0.5748 0.9666 0.2890  2 Rh 2.04-2.13
10 O 0.7292 0.7292 0.6933  1 Pd 2.03, 2 Rh 2.13
11 O 0.9666 0.5748 0.2890  2 Rh 2.04-2.13

Summary:
SG: C2/m, No. 12
Density: 7310 kg/m3
Energy relative to the elements, uncorrected: -0.606 eV/atom
V: 144 Å³/cell

***

This record from Alexandria describes a relaxed Ho4MgPb5 crystal. The functional is PBE.

abc: 7.5467 7.5467 7.5467
angles: 100.10 100.10 130.50
Last column: nearest neighbours and their distance in Å.
Atoms (fractional coordinates):
1 Ho 0.0886 0.3071 0.3956  6 Pb 3.12-3.30
2 Ho 0.3071 0.9114 0.2185  6 Pb 3.12-3.30
3 Ho 0.6929 0.0886 0.7815  6 Pb 3.12-3.30
4 Ho 0.9114 0.6929 0.6044  6 Pb 3.12-3.30
5 Mg 0.6984 0.6984 0.0000  6 Pb 3.04-3.28
6 Pb 0.1797 0.1797 0.0000  2 Mg 3.04-3.28, 4 Ho 3.30
7 Pb 0.2251 0.6022 0.8244  1 Mg 3.11, 5 Ho 3.12-3.18
8 Pb 0.4007 0.2251 0.6229  1 Mg 3.11, 5 Ho 3.12-3.18
9 Pb 0.6022 0.7778 0.3771  1 Mg 3.11, 5 Ho 3.12-3.18
10 Pb 0.7778 0.4007 0.1756  1 Mg 3.11, 5 Ho 3.12-3.18

Summary:
SG: I4, No. 79
Density: 9623 kg/m3
Energy: -4.049 eV per atom
V: 297 Å³/cell

***

This record from Alexandria describes a relaxed Li6Tl2Pd crystal. The functional is PBE.

abc: 7.5465 7.5465 7.5465
angles: 145.13 138.34 55.42
Last column: nearest neighbours and their distance in Å.
Atoms (fractional coordinates):
1 Li 0.0483 0.8041 0.2442  5 Li 2.62-2.75, 3 Tl 2.87-2.88
2 Li 0.2533 0.0000 0.2533  4 Li 2.62-2.72, 2 Pd 2.64
3 Li 0.4401 0.1959 0.2442  5 Li 2.62-2.75, 3 Tl 2.87-2.88
4 Li 0.5599 0.8041 0.7558  5 Li 2.62-2.75, 3 Tl 2.87-2.88
5 Li 0.7467 0.0000 0.7467  4 Li 2.62-2.72, 2 Pd 2.64
6 Li 0.9517 0.1959 0.7558  5 Li 2.62-2.75, 3 Tl 2.87-2.88
7 Tl 0.3878 0.3878 0.0000  10 Li 2.87-3.02, 1 Tl 3.00, 2 Pd 3.07
8 Tl 0.6122 0.6122 0.0000  10 Li 2.87-3.02, 1 Tl 3.00, 2 Pd 3.07
9 Pd 0.0000 0.5000 0.5000  4 Li 2.64

Summary:
SG: Immm, No. 71
Density: 5702 kg/m3
Relative energy among the computed polymorphs: 85 meV per atom
V: 162 Å³/cell

***

This record from Alexandria describes a relaxed AcHgCO5 crystal. The functional is PBE.

abc: 6.0018 6.0018 8.6761
angles: 107.32 107.32 96.48
Last column: nearest neighbours and their distance in Å.
Atoms (fractional coordinates):
1 Ac 0.0000 0.5000 0.0000  6 O 2.44-2.55
2 Ac 0.5000 0.0000 0.5000  6 O 2.44-2.55
3 Hg 0.0945 0.9055 0.7500  3 O 2.03-2.26
4 Hg 0.9055 0.0945 0.2500  3 O 2.03-2.26
5 C 0.4063 0.5937 0.7500  4 O 1.38-1.41
6 C 0.5937 0.4063 0.2500  4 O 1.38-1.41
7 O 0.1320 0.8680 0.2500  1 Hg 2.03
8 O 0.2762 0.6514 0.8623  1 C 1.41
9 O 0.3486 0.7238 0.6377  1 C 1.41
10 O 0.3502 0.3602 0.1628  1 C 1.38
11 O 0.3602 0.3502 0.6628  1 C 1.38
12 O 0.6398 0.6498 0.3372  1 C 1.38
13 O 0.6498 0.6398 0.8372  1 C 1.38
14 O 0.6514 0.2762 0.3623  1 C 1.41
15 O 0.7238 0.3486 0.1377  1 C 1.41
16 O 0.8680 0.1320 0.7500  1 Hg 2.03

Summary:
SG: C2/c, No. 15
Density: 6212 kg/m3
Energy relative to the elements, uncorrected: -1.466 eV/atom
V: 278 Å³/cell

***

This record from Alexandria describes a relaxed CrMo6W2 crystal. The functional is PBE.

abc: 4.4383 4.4383 8.1859
angles: 90.00 90.00 120.00
Last column: nearest neighbours and their distance in Å.
Atoms (fractional coordinates):
1 Cr 0.0000 0.0000 0.0000  8 Mo 2.68-2.71
2 Mo 0.0000 0.0000 0.3279  1 Cr 2.68, 4 Mo 2.72-2.82, 3 W 2.73
3 Mo 0.0000 0.0000 0.6721  1 Cr 2.68, 4 Mo 2.72-2.82, 3 W 2.73
4 Mo 0.3333 0.6667 0.2183  7 Mo 2.66-2.72, 1 W 2.77
5 Mo 0.3333 0.6667 0.8932  4 Mo 2.66-2.72, 3 Cr 2.71, 1 W 2.75
6 Mo 0.6667 0.3333 0.1068  4 Mo 2.66-2.72, 3 Cr 2.71, 1 W 2.75
7 Mo 0.6667 0.3333 0.7817  7 Mo 2.66-2.72, 1 W 2.77
8 W 0.3333 0.6667 0.5571  3 W 2.73, 5 Mo 2.73-2.77
9 W 0.6667 0.3333 0.4429  3 W 2.73, 5 Mo 2.73-2.77

Summary:
SG: P-3m1, No. 164
Density: 11836 kg/m3
Relative energy among the computed polymorphs: 0 meV per atom
V: 140 Å³/cell

***

This record from Alexandria describes a relaxed Ho3Er6Tm2Pu crystal. The functional is PBE.

abc: 6.0560 6.0560 11.5608
angles: 95.01 95.01 120.00
Last column: nearest neighbours and their distance in Å.
Atoms (fractional coordinates):
1 Ho 0.0000 0.0000 0.0000  6 Ho 3.49-3.50, 6 Er 3.50-3.52
2 Ho 0.3327 0.6673 0.0000  6 Ho 3.49-3.51, 6 Er 3.50-3.52
3 Ho 0.6673 0.3327 0.0000  6 Ho 3.49-3.51, 6 Er 3.50-3.52
4 Er 0.0875 0.4174 0.2523  1 Pu 3.46, 6 Er 3.46-3.51, 2 Tm 3.47, 3 Ho 3.50-3.52
5 Er 0.2526 0.2526 0.7477  1 Pu 3.46, 6 Er 3.46-3.51, 2 Tm 3.47, 3 Ho 3.51-3.52
6 Er 0.4174 0.0875 0.2523  1 Pu 3.46, 6 Er 3.46-3.51, 2 Tm 3.47, 3 Ho 3.50-3.52
7 Er 0.5826 0.9125 0.7477  1 Pu 3.46, 6 Er 3.46-3.51, 2 Tm 3.47, 3 Ho 3.50-3.52
8 Er 0.7474 0.7474 0.2523  1 Pu 3.46, 6 Er 3.46-3.51, 2 Tm 3.47, 3 Ho 3.51-3.52
9 Er 0.9125 0.5826 0.7477  1 Pu 3.46, 6 Er 3.46-3.51, 2 Tm 3.47, 3 Ho 3.50-3.52
10 Tm 0.1666 0.8334 0.5000  6 Er 3.47, 3 Tm 3.49-3.50, 3 Pu 3.50
11 Tm 0.8334 0.1666 0.5000  6 Er 3.47, 3 Tm 3.49-3.50, 3 Pu 3.50
12 Pu 0.5000 0.5000 0.5000  6 Er 3.46, 6 Tm 3.50

Summary:
SG: C2/m, No. 12
Density: 9554 kg/m3
Energy: -5.323 eV per atom
V: 362 Å³/cell